# PBE AgW2Cl, relaxed
# - uncorrected energy (eV per atom) = -7.311
# - total magnetic moment (μB/f.u.) = 0.00
# - excess energy over the best structure of this formula in the dataset (eV per formula unit) = 0.351
# - formation energy (no corrections) (kJ/mol of atoms) = 32.8
# - SG = Pm
data_AgW2Cl
_chemical_formula_sum 'Ag1 W2 Cl1'
_cell_length_a 3.235
_cell_length_b 3.071
_cell_length_c 8.180
_cell_angle_alpha 90.00
_cell_angle_beta 96.12
_cell_angle_gamma 90.00
_symmetry_space_group_name_H-M 'P 1'
_symmetry_Int_Tables_number 1
_symmetry_space_group_name_Hall 'P 1'
loop_
_atom_site_label
_atom_site_type_symbol
_atom_site_fract_x
_atom_site_fract_y
_atom_site_fract_z
Ag1 Ag 0.000 0.000 0.000
W1 W 0.083 0.000 0.418
W2 W 0.596 0.500 0.245
Cl1 Cl 0.127 0.500 0.662


# PBE AgW2Cl, relaxed
# - uncorrected energy (eV per atom) = -7.259
# - total magnetic moment (μB/f.u.) = 0.00
# - excess energy over the best structure of this formula in the dataset (eV per formula unit) = 0.559
# - formation energy (no corrections) (kJ/mol of atoms) = 37.8
# - SG = Cmm2
data_AgW2Cl
_chemical_formula_sum 'Ag1 W2 Cl1'
_cell_length_a 2.928
_cell_length_b 2.928
_cell_length_c 9.085
_cell_angle_alpha 90.00
_cell_angle_beta 90.00
_cell_angle_gamma 112.72
_symmetry_space_group_name_H-M 'P 1'
_symmetry_Int_Tables_number 1
_symmetry_space_group_name_Hall 'P 1'
loop_
_atom_site_label
_atom_site_type_symbol
_atom_site_fract_x
_atom_site_fract_y
_atom_site_fract_z
Ag1 Ag 0.000 0.000 0.000
W1 W 0.000 0.000 0.478
W2 W 0.500 0.500 0.260
Cl1 Cl 0.500 0.500 0.708


# PBE Ag3WCl, relaxed
# - uncorrected energy (eV per atom) = -3.073
# - total magnetic moment (μB/f.u.) = 0.00
# - excess energy over the best structure of this formula in the dataset (eV per formula unit) = 0.199
# - formation energy (no corrections) (kJ/mol of atoms) = 154.2
# - SG = Pm-3m
data_Ag3WCl
_chemical_formula_sum 'Ag3 W1 Cl1'
_cell_length_a 5.168
_cell_length_b 5.168
_cell_length_c 5.168
_cell_angle_alpha 90.00
_cell_angle_beta 90.00
_cell_angle_gamma 90.00
_symmetry_space_group_name_H-M 'P 1'
_symmetry_Int_Tables_number 1
_symmetry_space_group_name_Hall 'P 1'
loop_
_atom_site_label
_atom_site_type_symbol
_atom_site_fract_x
_atom_site_fract_y
_atom_site_fract_z
Ag1 Ag 0.000 0.000 0.500
Ag2 Ag 0.000 0.500 0.000
Ag3 Ag 0.500 0.000 0.000
W1 W 0.000 0.000 0.000
Cl1 Cl 0.500 0.500 0.500


# PBE AgWCl2, relaxed
# - uncorrected energy (eV per atom) = -4.471
# - total magnetic moment (μB/f.u.) = 0.00
# - excess energy over the best structure of this formula in the dataset (eV per formula unit) = 1.421
# - formation energy (no corrections) (kJ/mol of atoms) = 38.9
# - SG = P2/m
data_AgWCl2
_chemical_formula_sum 'Ag1 W1 Cl2'
_cell_length_a 2.938
_cell_length_b 4.177
_cell_length_c 5.945
_cell_angle_alpha 90.00
_cell_angle_beta 93.24
_cell_angle_gamma 90.00
_symmetry_space_group_name_H-M 'P 1'
_symmetry_Int_Tables_number 1
_symmetry_space_group_name_Hall 'P 1'
loop_
_atom_site_label
_atom_site_type_symbol
_atom_site_fract_x
_atom_site_fract_y
_atom_site_fract_z
Ag1 Ag 0.000 0.000 0.000
W1 W 0.500 0.000 0.500
Cl1 Cl 0.467 0.500 0.269
Cl2 Cl 0.533 0.500 0.731


Number 3 is which compound? Ag3WCl